ErCr2O2: optimized geometry, PBE+U.

```
ErCr2O2
1.0
-4.486 4.486 4.707
4.486 -4.486 4.707
4.486 4.486 -4.707
Er Cr O
4 8 8
Direct
0.875 0.125 0.250 Er
0.875 0.625 0.750 Er
0.875 0.125 0.750 Er
0.375 0.125 0.250 Er
0.233 0.043 0.809 Cr
0.233 0.424 0.191 Cr
0.793 0.483 0.309 Cr
0.517 0.826 0.309 Cr
0.517 0.207 0.691 Cr
0.174 0.483 0.691 Cr
0.957 0.767 0.191 Cr
0.576 0.767 0.809 Cr
0.080 0.733 0.653 O
0.080 0.427 0.347 O
0.483 0.330 0.153 O
0.670 0.823 0.153 O
0.670 0.517 0.847 O
0.177 0.330 0.847 O
0.267 0.920 0.347 O
0.573 0.920 0.653 O
```

Properties
Mass density ... 5.316 g/cm3
Raw total energy ... -6.79 eV/atom